P.
Below is crystalline La2YAg2 at its relaxed geometry, with properties calculated at the PBE-GGA level.

Lattice parameters (Å, degrees): 8.5801 8.5801 3.9818 90.00 90.00 90.00
With the nearest neighbours (Å) after each atom.
Fractional coordinates of all 10 atoms:
La1 0.1729 0.3271 0.0000  6 Ag 3.17-3.26
La2 0.3271 0.8271 0.0000  6 Ag 3.17-3.26
La3 0.6729 0.1729 0.0000  6 Ag 3.17-3.26
La4 0.8271 0.6729 0.0000  6 Ag 3.17-3.26
Y1 0.0000 0.0000 0.5000  4 Ag 3.40, 8 La 3.75
Y2 0.5000 0.5000 0.5000  4 Ag 3.40, 8 La 3.75
Ag1 0.1241 0.6241 0.5000  1 Ag 3.01, 6 La 3.17-3.26
Ag2 0.3759 0.1241 0.5000  1 Ag 3.01, 6 La 3.17-3.26
Ag3 0.6241 0.8759 0.5000  1 Ag 3.01, 6 La 3.17-3.26
Ag4 0.8759 0.3759 0.5000  1 Ag 3.01, 6 La 3.17-3.26

The value obtained for the volume is 29.31 A^3/atom.


Q.
Below is crystalline La2YAg2 at its relaxed geometry, with properties calculated at the PBE-GGA level.

Lattice parameters (Å, degrees): 8.8885 8.8885 3.5980 90.00 90.00 90.00
With the nearest neighbours (Å) after each atom.
Fractional coordinates of all 10 atoms:
La1 0.1378 0.3622 0.0000  6 Ag 3.09-3.23, 2 Y 3.44
La2 0.3622 0.8622 0.0000  6 Ag 3.09-3.23, 2 Y 3.44
La3 0.6378 0.1378 0.0000  6 Ag 3.09-3.23, 2 Y 3.44
La4 0.8622 0.6378 0.0000  6 Ag 3.09-3.23, 2 Y 3.44
Y1 0.0000 0.0000 0.0000  4 La 3.44, 2 Y 3.60, 8 Ag 3.78
Y2 0.5000 0.5000 0.0000  4 La 3.44, 2 Y 3.60, 8 Ag 3.78
Ag1 0.1627 0.6627 0.5000  6 La 3.09-3.23
Ag2 0.3373 0.1627 0.5000  6 La 3.09-3.23
Ag3 0.6627 0.8373 0.5000  6 La 3.09-3.23
Ag4 0.8373 0.3373 0.5000  6 La 3.09-3.23

The value obtained for the volume is 28.43 A^3/atom.


R.
Below is crystalline La2YAg2 at its relaxed geometry, with properties calculated at the PBE-GGA level.

Lattice parameters (Å, degrees): 7.7726 7.7726 7.7726 145.06 145.06 50.25
With the nearest neighbours (Å) after each atom.
Fractional coordinates of all 5 atoms:
La1 0.1073 0.1073 0.0000  1 La 3.02, 4 Ag 3.08
La2 0.8927 0.8927 0.0000  1 La 3.02, 4 Ag 3.08
Y1 0.5000 0.5000 0.0000  8 La 3.63
Ag1 0.2500 0.7500 0.5000  4 La 3.08, 4 Ag 3.30
Ag2 0.7500 0.2500 0.5000  4 La 3.08, 4 Ag 3.30

The value obtained for the volume is 30.66 A^3/atom.


Most stable structure, least stable structure: P, R.


P.
Below is crystalline LaYAg4 at its relaxed geometry, with properties calculated at the PBE-GGA level.

Lattice parameters (Å, degrees): 5.7891 5.7891 5.7891 60.00 60.00 60.00
With the nearest neighbours (Å) after each atom.
Fractional coordinates of all 6 atoms:
La1 0.0000 0.0000 0.0000  12 Ag 3.40, 4 Y 3.55
Y1 0.7500 0.7500 0.7500  12 Ag 3.39, 4 La 3.55
Ag1 0.3755 0.3755 0.3755  6 Ag 2.88-2.91
Ag2 0.3755 0.3755 0.8735  6 Ag 2.88-2.91
Ag3 0.3755 0.8735 0.3755  6 Ag 2.88-2.91
Ag4 0.8735 0.3755 0.3755  6 Ag 2.88-2.91

The value obtained for the volume is 22.86 A^3/atom.


Q.
Below is crystalline LaYAg4 at its relaxed geometry, with properties calculated at the PBE-GGA level.

Lattice parameters (Å, degrees): 3.5056 4.4024 9.8583 90.00 90.00 90.00
With the nearest neighbours (Å) after each atom.
Fractional coordinates of all 6 atoms:
La1 0.0000 0.0000 0.0000  8 Ag 3.25-3.27, 2 La 3.51
Y1 0.5000 0.5000 0.5000  8 Ag 3.09
Ag1 0.0000 0.5000 0.2419  4 Ag 2.84, 2 Y 3.09
Ag2 0.0000 0.5000 0.7581  4 Ag 2.84, 2 Y 3.09
Ag3 0.5000 0.0000 0.2801  4 Ag 2.84, 2 Y 3.09
Ag4 0.5000 0.0000 0.7199  4 Ag 2.84, 2 Y 3.09

The value obtained for the volume is 25.36 A^3/atom.


R.
Below is crystalline LaYAg4 at its relaxed geometry, with properties calculated at the PBE-GGA level.

Lattice parameters (Å, degrees): 5.4691 5.4691 5.4173 90.00 90.00 120.64
With the nearest neighbours (Å) after each atom.
Fractional coordinates of all 6 atoms:
La1 0.0000 0.0000 0.0000  10 Ag 3.15-3.19
Y1 0.5000 0.5000 0.5000  10 Ag 3.07-3.19
Ag1 0.1772 0.8228 0.5000  5 Ag 3.04-3.37, 3 Y 3.07-3.19, 2 La 3.19
Ag2 0.3316 0.6684 0.0000  5 Ag 3.08-3.20, 3 La 3.15, 2 Y 3.15
Ag3 0.6684 0.3316 0.0000  5 Ag 3.08-3.20, 3 La 3.15, 2 Y 3.15
Ag4 0.8228 0.1772 0.5000  5 Ag 3.04-3.37, 3 Y 3.07-3.19, 2 La 3.19

The value obtained for the volume is 23.24 A^3/atom.


Most stable structure, least stable structure: R, Q.


P.
Below is crystalline LaYZnAg at its relaxed geometry, with properties calculated at the PBE-GGA level.

Lattice parameters (Å, degrees): 3.6800 3.6800 7.4921 90.00 90.00 90.00
With the nearest neighbours (Å) after each atom.
Fractional coordinates of all 4 atoms:
La1 0.0000 0.0000 0.0000  4 Zn 3.26, 4 Ag 3.37, 1 Y 3.63
Y1 0.0000 0.0000 0.5150  4 Zn 3.09, 4 Ag 3.12
Zn1 0.5000 0.5000 0.7381  4 Y 3.09, 4 La 3.26, 1 Ag 3.39
Ag1 0.5000 0.5000 0.2858  4 Y 3.12, 4 La 3.37, 1 Zn 3.39

The value obtained for the volume is 25.36 A^3/atom.


Q.
Below is crystalline LaYZnAg at its relaxed geometry, with properties calculated at the PBE-GGA level.

Lattice parameters (Å, degrees): 5.2537 5.2537 5.2537 60.00 60.00 60.00
With the nearest neighbours (Å) after each atom.
Fractional coordinates of all 4 atoms:
La1 0.0000 0.0000 0.0000  4 Zn 3.22, 4 Ag 3.22
Y1 0.5000 0.5000 0.5000  4 Zn 3.22, 4 Ag 3.22
Zn1 0.7500 0.7500 0.7500  4 La 3.22, 4 Y 3.22
Ag1 0.2500 0.2500 0.2500  4 La 3.22, 4 Y 3.22

The value obtained for the volume is 25.63 A^3/atom.


Most stable structure, least stable structure: P, Q.


P.
Below is crystalline La2ZnAg2 at its relaxed geometry, with properties calculated at the PBE-GGA level.

Lattice parameters (Å, degrees): 7.9600 7.9600 4.1953 90.00 90.00 90.00
With the nearest neighbours (Å) after each atom.
Fractional coordinates of all 10 atoms:
La1 0.1771 0.3229 0.0000  6 Ag 3.05-3.22
La2 0.3229 0.8229 0.0000  6 Ag 3.05-3.22
La3 0.6771 0.1771 0.0000  6 Ag 3.05-3.22
La4 0.8229 0.6771 0.0000  6 Ag 3.05-3.22
Zn1 0.0000 0.0000 0.5000  4 Ag 3.14
Zn2 0.5000 0.5000 0.5000  4 Ag 3.14
Ag1 0.1259 0.6259 0.5000  1 Ag 2.84, 2 La 3.05, 2 Zn 3.14
Ag2 0.3741 0.1259 0.5000  1 Ag 2.84, 2 La 3.05, 2 Zn 3.14
Ag3 0.6259 0.8741 0.5000  1 Ag 2.84, 2 La 3.05, 2 Zn 3.14
Ag4 0.8741 0.3741 0.5000  1 Ag 2.84, 2 La 3.05, 2 Zn 3.14

The value obtained for the volume is 26.58 A^3/atom.


Q.
Below is crystalline La2ZnAg2 at its relaxed geometry, with properties calculated at the PBE-GGA level.

Lattice parameters (Å, degrees): 5.9745 5.9745 11.2854 113.65 113.65 45.69
With the nearest neighbours (Å) after each atom.
Fractional coordinates of all 10 atoms:
La1 0.0230 0.0230 0.3452  4 Zn 3.23-3.40, 7 Ag 3.24-3.39
La2 0.1933 0.1933 0.1128  6 Ag 3.18-3.41, 2 Zn 3.39
La3 0.8067 0.8067 0.8872  6 Ag 3.18-3.41, 2 Zn 3.39
La4 0.9770 0.9770 0.6548  4 Zn 3.23-3.40, 7 Ag 3.24-3.39
Zn1 0.2739 0.2739 0.6565  3 Ag 2.67-2.76
Zn2 0.7261 0.7261 0.3435  3 Ag 2.67-2.76
Ag1 0.3539 0.3539 0.4340  2 Zn 2.67, 1 Ag 2.90
Ag2 0.4846 0.4846 0.1192  1 Zn 2.76, 1 Ag 2.85
Ag3 0.5154 0.5154 0.8808  1 Zn 2.76, 1 Ag 2.85
Ag4 0.6461 0.6461 0.5660  2 Zn 2.67, 1 Ag 2.90

The value obtained for the volume is 25.95 A^3/atom.


R.
Below is crystalline La2ZnAg2 at its relaxed geometry, with properties calculated at the PBE-GGA level.

Lattice parameters (Å, degrees): 8.6751 8.6751 3.7885 90.00 90.00 90.00
With the nearest neighbours (Å) after each atom.
Fractional coordinates of all 10 atoms:
La1 0.1714 0.3286 0.0000  6 Ag 3.17-3.20, 2 Zn 3.22
La2 0.3286 0.8286 0.0000  6 Ag 3.17-3.20, 2 Zn 3.22
La3 0.6714 0.1714 0.0000  6 Ag 3.17-3.20, 2 Zn 3.22
La4 0.8286 0.6714 0.0000  6 Ag 3.17-3.20, 2 Zn 3.22
Zn1 0.0000 0.0000 0.0000  4 La 3.22
Zn2 0.5000 0.5000 0.0000  4 La 3.22
Ag1 0.1219 0.6219 0.5000  1 Ag 2.99, 6 La 3.17-3.20
Ag2 0.3781 0.1219 0.5000  1 Ag 2.99, 6 La 3.17-3.20
Ag3 0.6219 0.8781 0.5000  1 Ag 2.99, 6 La 3.17-3.20
Ag4 0.8781 0.3781 0.5000  1 Ag 2.99, 6 La 3.17-3.20

The value obtained for the volume is 28.51 A^3/atom.


S.
Below is crystalline La2ZnAg2 at its relaxed geometry, with properties calculated at the PBE-GGA level.

Lattice parameters (Å, degrees): 5.8005 5.8005 5.8005 118.04 118.04 93.43
With the nearest neighbours (Å) after each atom.
Fractional coordinates of all 5 atoms:
La1 0.2500 0.7500 0.5000  4 Ag 3.07
La2 0.7500 0.2500 0.5000  4 Ag 3.07
Zn1 0.0000 0.0000 0.0000  2 Ag 2.69
Ag1 0.3378 0.3378 0.0000  1 Ag 2.58, 1 Zn 2.69
Ag2 0.6622 0.6622 0.0000  1 Ag 2.58, 1 Zn 2.69

The value obtained for the volume is 28.36 A^3/atom.


Most stable structure, least stable structure: Q, S.


P.
Below is crystalline La2Zn2Ag at its relaxed geometry, with properties calculated at the PBE-GGA level.

Lattice parameters (Å, degrees): 7.3103 7.3103 4.6429 90.00 90.00 90.00
With the nearest neighbours (Å) after each atom.
Fractional coordinates of all 10 atoms:
La1 0.1637 0.3363 0.0000  6 Zn 3.13-3.18, 1 La 3.38
La2 0.3363 0.8363 0.0000  6 Zn 3.13-3.18, 1 La 3.38
La3 0.6637 0.1637 0.0000  6 Zn 3.13-3.18, 1 La 3.38
La4 0.8363 0.6637 0.0000  6 Zn 3.13-3.18, 1 La 3.38
Zn1 0.1329 0.6329 0.5000  1 Zn 2.75, 2 Ag 2.85
Zn2 0.3671 0.1329 0.5000  1 Zn 2.75, 2 Ag 2.85
Zn3 0.6329 0.8671 0.5000  1 Zn 2.75, 2 Ag 2.85
Zn4 0.8671 0.3671 0.5000  1 Zn 2.75, 2 Ag 2.85
Ag1 0.0000 0.0000 0.5000  4 Zn 2.85
Ag2 0.5000 0.5000 0.5000  4 Zn 2.85

The value obtained for the volume is 24.81 A^3/atom.


Q.
Below is crystalline La2Zn2Ag at its relaxed geometry, with properties calculated at the PBE-GGA level.

Lattice parameters (Å, degrees): 8.9673 8.9673 3.2896 90.00 90.00 90.00
With the nearest neighbours (Å) after each atom.
Fractional coordinates of all 10 atoms:
La1 0.1849 0.3151 0.0000  6 Zn 3.12-3.16, 2 Ag 3.28, 2 La 3.29
La2 0.3151 0.8151 0.0000  6 Zn 3.12-3.16, 2 Ag 3.28, 2 La 3.29
La3 0.6849 0.1849 0.0000  6 Zn 3.12-3.16, 2 Ag 3.28, 2 La 3.29
La4 0.8151 0.6849 0.0000  6 Zn 3.12-3.16, 2 Ag 3.28, 2 La 3.29
Zn1 0.1062 0.6062 0.5000  1 Zn 2.69
Zn2 0.3938 0.1062 0.5000  1 Zn 2.69
Zn3 0.6062 0.8938 0.5000  1 Zn 2.69
Zn4 0.8938 0.3938 0.5000  1 Zn 2.69
Ag1 0.0000 0.0000 0.0000  4 La 3.28, 2 Ag 3.29
Ag2 0.5000 0.5000 0.0000  4 La 3.28, 2 Ag 3.29

The value obtained for the volume is 26.45 A^3/atom.


R.
Below is crystalline La2Zn2Ag at its relaxed geometry, with properties calculated at the PBE-GGA level.

Lattice parameters (Å, degrees): 5.8044 5.8044 11.1240 113.41 113.41 48.47
With the nearest neighbours (Å) after each atom.
Fractional coordinates of all 10 atoms:
La1 0.0209 0.0209 0.3361  4 Ag 3.15-3.37, 7 Zn 3.28-3.37
La2 0.1981 0.1981 0.1086  6 Zn 3.10-3.38
La3 0.8019 0.8019 0.8914  6 Zn 3.10-3.38
La4 0.9791 0.9791 0.6639  4 Ag 3.15-3.37, 7 Zn 3.28-3.37
Zn1 0.3620 0.3620 0.4355  1 Zn 2.63, 2 Ag 2.73
Zn2 0.4919 0.4919 0.1114  1 Zn 2.56, 1 Ag 2.72
Zn3 0.5081 0.5081 0.8886  1 Zn 2.56, 1 Ag 2.72
Zn4 0.6380 0.6380 0.5645  1 Zn 2.63, 2 Ag 2.73
Ag1 0.2722 0.2722 0.6537  4 Zn 2.72-2.97
Ag2 0.7278 0.7278 0.3463  4 Zn 2.72-2.97

The value obtained for the volume is 25.25 A^3/atom.


Most stable structure, least stable structure: R, Q.